Below is a geometry-optimized TbY3 structure, with properties calculated at the PBEsol level.

Lattice parameters (Å, degrees): 4.9475 4.9475 6.0598 114.09 114.09 90.00
With the nearest neighbours (Å) after each atom.
Positions (direct):
Y 0.2500 0.7500 0.5000  8 Y 3.50, 4 Tb 3.50
Y 0.5000 0.5000 0.0000  4 Tb 3.50, 8 Y 3.50
Y 0.7500 0.2500 0.5000  8 Y 3.50, 4 Tb 3.50
Tb 0.0000 0.0000 0.0000  12 Y 3.50

Calculated values
- Formation energy from the elements: 18.7 meV/atom
- DFT total energy: -6.35 eV/atom



Below is a geometry-optimized ZnNi2Rh structure, with properties calculated at the PBEsol level.

Lattice parameters (Å, degrees): 3.6180 3.6180 4.4283 114.11 114.11 90.00
With the nearest neighbours (Å) after each atom.
Positions (direct):
Ni 0.2500 0.7500 0.5000  4 Rh 2.56, 4 Zn 2.56, 4 Ni 2.56
Ni 0.7500 0.2500 0.5000  4 Rh 2.56, 4 Zn 2.56, 4 Ni 2.56
Zn 0.0000 0.0000 0.0000  8 Ni 2.56, 4 Rh 2.56
Rh 0.5000 0.5000 0.0000  8 Ni 2.56, 4 Zn 2.56

Calculated values
- Formation energy from the elements: -119.1 meV/atom
- DFT total energy: -5.63 eV/atom



Below is a geometry-optimized SmInPt4 structure, with properties calculated at the PBEsol level.

Lattice parameters (Å, degrees): 5.3494 5.3494 5.3494 60.00 60.00 60.00
With the nearest neighbours (Å) after each atom.
Positions (direct):
Pt 0.3755 0.3755 0.8736  6 Pt 2.66-2.68
Pt 0.3755 0.3755 0.3755  6 Pt 2.66-2.68
Pt 0.8736 0.3755 0.3755  6 Pt 2.66-2.68
Pt 0.3755 0.8736 0.3755  6 Pt 2.66-2.68
In 0.7500 0.7500 0.7500  12 Pt 3.14, 4 Sm 3.28
Sm 0.0000 0.0000 0.0000  12 Pt 3.14, 4 In 3.28

Calculated values
- Formation energy from the elements: -803.3 meV/atom
- DFT total energy: -6.79 eV/atom



Below is a geometry-optimized Mg2BO structure, with properties calculated at the PBEsol level.

Lattice parameters (Å, degrees): 5.2937 5.2937 5.2937 96.93 116.08 116.08
With the nearest neighbours (Å) after each atom.
Positions (direct):
Mg 0.9385 0.0635 0.6250  2 O 1.96
Mg 0.0615 0.6865 0.1250  2 O 1.96
Mg 0.4385 0.3750 0.3135  2 O 1.96
Mg 0.5615 0.8750 0.9365  2 O 1.96
O 0.0000 0.0000 0.0000  4 Mg 1.96
O 0.5000 0.7500 0.2500  4 Mg 1.96
B 0.5000 0.2500 0.7500  4 Mg 2.40
B 0.0000 0.5000 0.5000  4 Mg 2.40

Calculated values
- DFT total energy: -4.48 eV/atom



Below is a geometry-optimized Mg2Au structure, with properties calculated at the PBEsol level.

Lattice parameters (Å, degrees): 3.2247 3.2148 12.1076 97.63 97.65 90.00
With the nearest neighbours (Å) after each atom.
Positions (direct):
Mg 0.9430 0.6930 0.8859  4 Au 2.79
Mg 0.8070 0.5570 0.6141  4 Au 2.79
Mg 0.1930 0.4430 0.3859  4 Au 2.79
Mg 0.0570 0.3070 0.1141  4 Au 2.79
Au 0.6250 0.8750 0.2500  8 Mg 2.79
Au 0.3750 0.1250 0.7500  8 Mg 2.79

Calculated values
- Formation energy from the elements: -329.1 meV/atom
- DFT total energy: -2.78 eV/atom



Below is a geometry-optimized Be2CoSi structure, with properties calculated at the PBEsol level.

Lattice parameters (Å, degrees): 3.3240 3.3240 3.3627 90.00 90.00 90.00
With the nearest neighbours (Å) after each atom.
Positions (direct):
Be 0.5000 0.0000 0.0000  4 Be 2.35, 4 Co 2.36, 4 Si 2.36
Be 0.0000 0.5000 0.0000  4 Be 2.35, 4 Co 2.36, 4 Si 2.36
Si 0.0000 0.0000 0.5000  4 Co 2.35, 8 Be 2.36
Co 0.5000 0.5000 0.5000  4 Si 2.35, 8 Be 2.36

Calculated values
- DFT total energy: -5.68 eV/atom